Ba5Be (GGA-PBEsol, relaxed); excess energy over the best structure of this formula in the dataset = 0.000 eV per atom; space-group type = P4/mmm (123)
1.0
4.094 0.000 0.000
0.000 4.094 0.000
0.000 0.000 17.073
Ba Be
5 1
Direct
0.000 0.000 0.000
0.000 0.000 0.395
0.000 0.000 0.605
0.500 0.500 0.194
0.500 0.500 0.806
0.500 0.500 0.500